## 1
DFT (PBE) results for LiOsRu2 after structural relaxation.

a b c (Å): 2.6788 3.9099 5.1974
angles (deg): 90.00 100.95 90.00
With the nearest neighbours (Å) after each atom.
Fractional coordinates of all 4 atoms:
Li1 0.0000 0.0000 0.0000  4 Ru 2.48, 2 Os 2.60, 2 Li 2.68
Os1 0.0000 0.0000 0.5000  2 Li 2.60, 2 Os 2.68, 8 Ru 2.69-2.74
Ru1 0.4240 0.5000 0.2420  2 Li 2.48, 4 Ru 2.62-2.68, 4 Os 2.69-2.74
Ru2 0.5760 0.5000 0.7580  2 Li 2.48, 4 Ru 2.62-2.68, 4 Os 2.69-2.74

Summary:
Space-group type: P2/m, No. 10

=====

## 2
DFT (PBE) results for LiOsRu2 after structural relaxation.

a b c (Å): 2.7175 2.7175 26.8120
angles (deg): 90.00 90.00 120.00
With the nearest neighbours (Å) after each atom.
Fractional coordinates of all 12 atoms:
Li1 0.0000 0.0000 0.0000  6 Li 2.72, 6 Ru 2.80
Li2 0.3333 0.6667 0.6667  6 Li 2.72, 6 Ru 2.80
Li3 0.6667 0.3333 0.3333  6 Li 2.72, 6 Ru 2.80
Os1 0.0000 0.0000 0.5000  6 Ru 2.66, 6 Os 2.72
Os2 0.3333 0.6667 0.1667  6 Ru 2.66, 6 Os 2.72
Os3 0.6667 0.3333 0.8333  6 Ru 2.66, 6 Os 2.72
Ru1 0.0000 0.0000 0.2467  3 Os 2.66, 6 Ru 2.72, 3 Li 2.80
Ru2 0.0000 0.0000 0.7533  3 Os 2.66, 6 Ru 2.72, 3 Li 2.80
Ru3 0.3333 0.6667 0.4200  3 Os 2.66, 6 Ru 2.72, 3 Li 2.80
Ru4 0.3333 0.6667 0.9134  3 Os 2.66, 6 Ru 2.72, 3 Li 2.80
Ru5 0.6667 0.3333 0.0866  3 Os 2.66, 6 Ru 2.72, 3 Li 2.80
Ru6 0.6667 0.3333 0.5800  3 Os 2.66, 6 Ru 2.72, 3 Li 2.80

Summary:
Space-group type: R-3m, No. 166

=====

## 3
DFT (PBE) results for LiOsRu2 after structural relaxation.

a b c (Å): 2.7529 4.5329 9.1652
angles (deg): 90.00 90.00 90.00
With the nearest neighbours (Å) after each atom.
Fractional coordinates of all 8 atoms:
Li1 0.0000 0.0000 0.0000  6 Li 2.65-2.75, 4 Ru 2.68
Li2 0.5000 0.5000 0.0000  6 Li 2.65-2.75, 4 Ru 2.68
Os1 0.0000 0.0000 0.5000  6 Os 2.65-2.75, 4 Ru 2.67
Os2 0.5000 0.5000 0.5000  6 Os 2.65-2.75, 4 Ru 2.67
Ru1 0.0000 0.5000 0.2508  6 Ru 2.65-2.75, 2 Os 2.67, 2 Li 2.68
Ru2 0.0000 0.5000 0.7492  6 Ru 2.65-2.75, 2 Os 2.67, 2 Li 2.68
Ru3 0.5000 0.0000 0.2508  6 Ru 2.65-2.75, 2 Os 2.67, 2 Li 2.68
Ru4 0.5000 0.0000 0.7492  6 Ru 2.65-2.75, 2 Os 2.67, 2 Li 2.68

Summary:
Space-group type: Cmmm, No. 65

=====

## 4
DFT (PBE) results for LiOsRu2 after structural relaxation.

a b c (Å): 8.8863 2.6785 4.6505
angles (deg): 90.00 98.14 90.00
With the nearest neighbours (Å) after each atom.
Fractional coordinates of all 8 atoms:
Li1 0.0000 0.0000 0.0000  7 Ru 2.50-2.73, 1 Os 2.62, 2 Li 2.68
Li2 0.5000 0.5000 0.0000  7 Ru 2.50-2.73, 1 Os 2.62, 2 Li 2.68
Os1 0.2392 0.0000 0.7283  3 Li 2.62-2.82, 7 Ru 2.63-2.74, 2 Os 2.68
Os2 0.7392 0.5000 0.7283  3 Li 2.62-2.82, 7 Ru 2.63-2.74, 2 Os 2.68
Ru1 0.2587 0.5000 0.2198  3 Li 2.50-2.73, 4 Os 2.63-2.74, 4 Ru 2.68
Ru2 0.4957 0.0000 0.5034  3 Os 2.63-2.64, 4 Li 2.67-2.70, 5 Ru 2.68-2.84
Ru3 0.7587 0.0000 0.2198  3 Li 2.50-2.73, 4 Os 2.63-2.74, 4 Ru 2.68
Ru4 0.9957 0.5000 0.5034  3 Os 2.63-2.64, 4 Li 2.67-2.70, 5 Ru 2.68-2.84

Summary:
Space-group type: Cm, No. 8

=====

2 comes first in stability; the runner-up is 28 meV/atom higher.